The following is a PBE calculation of crystalline NiN at its relaxed geometry, from the Alexandria database.

Values from the calculation:
Energy, eV per atom: -6.46
Calculated density, g cm⁻³: 6.7
ΔE_f (raw), meV/atom: 593
Symmetry: Imm2

```
NiN
1.0
8.961 0.000 0.000
0.000 2.765 0.000
0.000 0.000 4.390
Ni N
6 6
Cartesian
7.531 0.000 1.131
1.430 0.000 1.131
3.050 1.382 3.327
5.911 1.382 3.327
0.000 0.000 3.196
4.481 1.382 1.001
7.131 0.000 3.068
1.830 0.000 3.068
2.650 1.382 0.873
6.311 1.382 0.873
0.000 1.382 1.585
4.481 0.000 3.780
```